(1)
The following is a DFT calculation (PBE) of a relaxed structure of Ho6ThSc4.

## Properties
relative energy among the computed polymorphs: 0 meV/atom
crystal system: orthorhombic
energy of formation from the pure elements: 12.8 kJ per mole of atoms

Cell and atoms, written as CIF:
```
data_Ho6ThSc4
_cell_length_a 5.481
_cell_length_b 9.410
_cell_length_c 24.783
_cell_angle_alpha 90.00
_cell_angle_beta 90.00
_cell_angle_gamma 90.00
_space_group_name_H-M_alt 'C m c m'
_space_group_IT_number 63
_space_group_name_Hall '-C 2c 2'
loop_
_atom_site_label
_atom_site_type_symbol
_atom_site_fract_x
_atom_site_fract_y
_atom_site_fract_z
Ho1 Ho 0.000 0.000 0.000
Ho2 Ho 0.000 0.011 0.250
Ho3 Ho 0.000 0.325 0.596
Ho4 Ho 0.000 0.343 0.179
Th1 Th 0.000 0.324 0.750
Sc1 Sc 0.000 0.010 0.124
Sc2 Sc 0.000 0.337 0.042
```



(2)
The following is a DFT calculation (PBE) of a relaxed structure of Na2UO4.

## Properties
energy relative to the elements, uncorrected: -2.594 eV per atom
crystal system: monoclinic

Cell and atoms, written as CIF:
```
data_Na2UO4
_cell_length_a 12.422
_cell_length_b 3.552
_cell_length_c 5.659
_cell_angle_alpha 90.00
_cell_angle_beta 112.07
_cell_angle_gamma 90.00
_space_group_name_H-M_alt 'C 1 2/m 1'
_space_group_IT_number 12
_space_group_name_Hall '-C 2y'
loop_
_atom_site_label
_atom_site_type_symbol
_atom_site_fract_x
_atom_site_fract_y
_atom_site_fract_z
Na1 Na 0.152 0.000 0.067
U1 U 0.000 0.500 0.500
O1 O 0.051 0.000 0.335
O2 O 0.145 0.500 0.793
```



Summary of final energy in eV/atom
-5.341, -7.416
(order as listed above)